Crystalline SrTePt at its relaxed geometry. Source: the Open Quantum Materials Database, functional PBE.

Unit cell a=4.8791 b=4.8791 c=4.8791 alpha=60.00 beta=60.00 gamma=60.00
With the nearest neighbours (Å) after each atom.
Positions (direct):
1 Sr 0.0000 0.0000 0.0000  4 Pt 2.99
2 Te 0.5000 0.5000 0.5000  4 Pt 2.99
3 Pt 0.2500 0.2500 0.2500  4 Te 2.99, 4 Sr 2.99

Results
The electronic total energy is -4.523 eV/atom.

Crystalline SrThPt at its relaxed geometry. Source: the Open Quantum Materials Database, functional PBE.

Unit cell a=5.0875 b=5.0875 c=5.0875 alpha=60.00 beta=60.00 gamma=60.00
With the nearest neighbours (Å) after each atom.
Positions (direct):
1 Sr 0.0000 0.0000 0.0000  4 Pt 3.12
2 Th 0.5000 0.5000 0.5000  4 Pt 3.12
3 Pt 0.2500 0.2500 0.2500  4 Th 3.12, 4 Sr 3.12

Results
The electronic total energy is -5.483 eV/atom.

Crystalline SrTl2Pt2 at its relaxed geometry. Source: the Open Quantum Materials Database, functional PBE.

Unit cell a=6.8603 b=6.8603 c=6.8603 alpha=141.37 beta=141.37 gamma=55.78
With the nearest neighbours (Å) after each atom.
Positions (direct):
1 Sr 0.0000 0.0000 0.0000  8 Pt 3.46, 8 Tl 3.79
2 Tl 0.2500 0.7500 0.5000  4 Pt 2.86
3 Tl 0.7500 0.2500 0.5000  4 Pt 2.86
4 Pt 0.3937 0.3937 0.0000  1 Pt 2.58, 4 Tl 2.86
5 Pt 0.6063 0.6063 0.0000  1 Pt 2.58, 4 Tl 2.86

Results
The electronic total energy is -4.118 eV/atom.

Crystalline SrTlPt2 at its relaxed geometry. Source: the Open Quantum Materials Database, functional PBE.

Unit cell a=4.6614 b=4.6614 c=5.3942 alpha=90.00 beta=90.00 gamma=120.00
With the nearest neighbours (Å) after each atom.
Positions (direct):
1 Sr 0.0000 0.0000 0.0000  6 Pt 3.03
2 Tl 0.3333 0.6667 0.5000  6 Pt 2.99
3 Pt 0.6667 0.3333 0.2572  2 Pt 2.62-2.77
4 Pt 0.6667 0.3333 0.7428  2 Pt 2.62-2.77

Results
The electronic total energy is -4.521 eV/atom.

Crystalline SrZnPt2 at its relaxed geometry. Source: the Open Quantum Materials Database, functional PBE.

Unit cell a=4.8072 b=4.8072 c=4.8072 alpha=60.00 beta=60.00 gamma=60.00
With the nearest neighbours (Å) after each atom.
Positions (direct):
1 Sr 0.0000 0.0000 0.0000  4 Zn 2.94, 4 Pt 2.94
2 Zn 0.7500 0.7500 0.7500  4 Sr 2.94, 4 Pt 2.94
3 Pt 0.2500 0.2500 0.2500  4 Pt 2.94, 4 Sr 2.94
4 Pt 0.5000 0.5000 0.5000  4 Zn 2.94, 4 Pt 2.94

Results
The electronic total energy is -4.013 eV/atom.

Crystalline Sr2ZnPt2 at its relaxed geometry. Source: the Open Quantum Materials Database, functional PBE.

Unit cell a=5.6893 b=5.6893 c=5.6893 alpha=117.10 beta=117.10 gamma=95.10
With the nearest neighbours (Å) after each atom.
Positions (direct):
1 Sr 0.2500 0.7500 0.5000  4 Pt 3.03
2 Sr 0.7500 0.2500 0.5000  4 Pt 3.03
3 Zn 0.0000 0.0000 0.0000  2 Pt 2.52
4 Pt 0.3280 0.3280 0.0000  1 Zn 2.52, 1 Pt 2.64
5 Pt 0.6720 0.6720 0.0000  1 Zn 2.52, 1 Pt 2.64

Results
The electronic total energy is -3.927 eV/atom.

Crystalline Sr2Zn2Pt at its relaxed geometry. Source: the Open Quantum Materials Database, functional PBE.

Unit cell a=3.7507 b=3.7507 c=9.6495 alpha=101.32 beta=101.32 gamma=89.38
With the nearest neighbours (Å) after each atom.
Positions (direct):
1 Sr 0.0000 0.0000 0.0000  4 Pt 3.17-3.20, 4 Zn 3.45, 1 Sr 3.51
2 Sr 0.1862 0.1862 0.3787  4 Pt 3.17-3.20, 4 Zn 3.42-3.43, 1 Sr 3.51
3 Zn 0.3425 0.8422 0.6878  4 Zn 2.64-2.67
4 Zn 0.8422 0.3425 0.6878  4 Zn 2.64-2.67
5 Pt 0.5936 0.5936 0.1894  8 Sr 3.17-3.20

Results
The electronic total energy is -2.744 eV/atom.

Crystalline SrZn2Pt2 at its relaxed geometry. Source: the Open Quantum Materials Database, functional PBE.

Unit cell a=6.3644 b=6.3644 c=6.3644 alpha=141.05 beta=141.05 gamma=56.27
With the nearest neighbours (Å) after each atom.
Positions (direct):
1 Sr 0.0000 0.0000 0.0000  8 Pt 3.28, 8 Zn 3.52
2 Zn 0.2500 0.7500 0.5000  4 Pt 2.59
3 Zn 0.7500 0.2500 0.5000  4 Pt 2.59
4 Pt 0.3822 0.3822 0.0000  4 Zn 2.59, 1 Pt 2.64
5 Pt 0.6178 0.6178 0.0000  4 Zn 2.59, 1 Pt 2.64

Results
The electronic total energy is -3.950 eV/atom.

Crystalline SrZn3Pt at its relaxed geometry. Source: the Open Quantum Materials Database, functional PBE.

Unit cell a=6.4604 b=6.4604 c=5.0878 alpha=90.00 beta=90.00 gamma=90.00
With the nearest neighbours (Å) after each atom.
Positions (direct):
1 Sr 0.2500 0.7500 0.0000  12 Zn 3.37-3.42, 4 Pt 3.56
2 Sr 0.7500 0.2500 0.0000  12 Zn 3.37-3.42, 4 Pt 3.56
3 Zn 0.0000 0.0000 0.5000  2 Pt 2.52, 2 Zn 2.77
4 Zn 0.0000 0.5000 0.5000  2 Pt 2.52, 2 Zn 2.77
5 Zn 0.2500 0.2500 0.1907  2 Pt 2.46-2.63
6 Zn 0.5000 0.0000 0.5000  2 Pt 2.52, 2 Zn 2.77
7 Zn 0.5000 0.5000 0.5000  2 Pt 2.52, 2 Zn 2.77
8 Zn 0.7500 0.7500 0.8093  2 Pt 2.46-2.63
9 Pt 0.2500 0.2500 0.7079  6 Zn 2.46-2.63
10 Pt 0.7500 0.7500 0.2921  6 Zn 2.46-2.63

Results
The electronic total energy is -2.796 eV/atom.

Crystalline Sr2Zr2Pt3 at its relaxed geometry. Source: the Open Quantum Materials Database, functional PBE.

Unit cell a=8.5095 b=8.5095 c=8.5095 alpha=33.56 beta=33.56 gamma=33.56
With the nearest neighbours (Å) after each atom.
Positions (direct):
1 Sr 0.0000 0.0000 0.0000  7 Pt 2.99-3.13
2 Sr 0.4942 0.4942 0.4942  5 Pt 2.93-3.06
3 Zr 0.2519 0.2519 0.2519  7 Pt 2.90-3.07
4 Zr 0.7419 0.7419 0.7419  5 Pt 2.90-3.08
5 Pt 0.3724 0.3724 0.3724  4 Zr 2.90-2.97, 4 Sr 2.93-2.99
6 Pt 0.6213 0.6213 0.6213  4 Zr 2.90-2.97, 4 Sr 3.04-3.06
7 Pt 0.8700 0.8700 0.8700  4 Sr 3.01-3.13, 4 Zr 3.07-3.08

Results
The electronic total energy is -5.974 eV/atom.

Crystalline Ta2Pt at its relaxed geometry. Source: the Open Quantum Materials Database, functional PBE.

Unit cell a=8.1123 b=8.1123 c=8.1123 alpha=60.00 beta=60.00 gamma=60.00
With the nearest neighbours (Å) after each atom.
Positions (direct):
1 Ta 0.0000 0.0000 0.0000  2 Pt 2.48
2 Ta 0.0000 0.0000 0.5000  2 Pt 2.48
3 Ta 0.0000 0.5000 0.0000  2 Pt 2.48
4 Ta 0.5000 0.0000 0.0000  2 Pt 2.48
5 Pt 0.1250 0.1250 0.1250  4 Ta 2.48
6 Pt 0.8750 0.8750 0.8750  4 Ta 2.48

Results
The electronic total energy is -6.832 eV/atom. The value obtained for the formation energy is 3088 meV per atom.

Crystalline TaPt3 at its relaxed geometry. Source: the Open Quantum Materials Database, functional PBE.

Unit cell a=4.9124 b=5.5857 c=9.3493 alpha=90.00 beta=100.60 gamma=90.00
With the nearest neighbours (Å) after each atom.
Positions (direct):
1 Ta 0.1215 0.2500 0.3774  12 Pt 2.75-2.85
2 Ta 0.2870 0.2500 0.8730  12 Pt 2.74-2.85
3 Ta 0.7130 0.7500 0.1270  12 Pt 2.74-2.85
4 Ta 0.8785 0.7500 0.6226  12 Pt 2.75-2.85
5 Pt 0.1088 0.7500 0.3758  4 Ta 2.74-2.79, 8 Pt 2.78-2.88
6 Pt 0.2089 0.0013 0.1230  8 Pt 2.78-2.87, 4 Ta 2.81-2.85
7 Pt 0.2089 0.4987 0.1230  8 Pt 2.78-2.87, 4 Ta 2.81-2.85
8 Pt 0.2919 0.7500 0.8720  8 Pt 2.79-2.83, 4 Ta 2.79-2.85
9 Pt 0.3796 0.5012 0.6258  8 Pt 2.78-2.88, 4 Ta 2.81-2.82
10 Pt 0.3796 0.9988 0.6258  8 Pt 2.78-2.88, 4 Ta 2.81-2.82
11 Pt 0.6204 0.0012 0.3742  8 Pt 2.78-2.88, 4 Ta 2.81-2.82
12 Pt 0.6204 0.4988 0.3742  8 Pt 2.78-2.88, 4 Ta 2.81-2.82
13 Pt 0.7081 0.2500 0.1280  8 Pt 2.79-2.83, 4 Ta 2.79-2.85
14 Pt 0.7911 0.5013 0.8770  8 Pt 2.78-2.87, 4 Ta 2.81-2.85
15 Pt 0.7911 0.9987 0.8770  8 Pt 2.78-2.87, 4 Ta 2.81-2.85
16 Pt 0.8912 0.2500 0.6242  4 Ta 2.74-2.79, 8 Pt 2.78-2.88

Results
The electronic total energy is -8.225 eV/atom. The value obtained for the formation energy is -720 meV per atom.

Crystalline Ta2Pt at its relaxed geometry. Source: the Open Quantum Materials Database, functional PBE.

Unit cell a=5.3166 b=5.3166 c=5.3166 alpha=60.00 beta=60.00 gamma=60.00
With the nearest neighbours (Å) after each atom.
Positions (direct):
1 Ta 0.0000 0.0000 0.0000  6 Ta 2.66
2 Ta 0.0000 0.0000 0.5000  6 Ta 2.66
3 Ta 0.0000 0.5000 0.0000  6 Ta 2.66
4 Ta 0.5000 0.0000 0.0000  6 Ta 2.66
5 Pt 0.3750 0.3750 0.3750  12 Ta 3.12, 4 Pt 3.26
6 Pt 0.6250 0.6250 0.6250  12 Ta 3.12, 4 Pt 3.26

Results
The electronic total energy is -9.823 eV/atom. The value obtained for the formation energy is 97 meV per atom.

Crystalline TbTaPt at its relaxed geometry. Source: the Open Quantum Materials Database, functional PBE.

Unit cell a=4.6269 b=4.6269 c=4.6269 alpha=60.00 beta=60.00 gamma=60.00
With the nearest neighbours (Å) after each atom.
Positions (direct):
1 Tb 0.0000 0.0000 0.0000  4 Pt 2.83
2 Ta 0.5000 0.5000 0.5000  4 Pt 2.83
3 Pt 0.7500 0.7500 0.7500  4 Tb 2.83, 4 Ta 2.83

Results
The electronic total energy is -7.622 eV/atom. The value obtained for the formation energy is -110 meV per atom.

Crystalline TaTlPt2 at its relaxed geometry. Source: the Open Quantum Materials Database, functional PBE.

Unit cell a=4.6313 b=4.6313 c=4.6313 alpha=60.00 beta=60.00 gamma=60.00
With the nearest neighbours (Å) after each atom.
Positions (direct):
1 Ta 0.0000 0.0000 0.0000  4 Tl 2.84, 4 Pt 2.84
2 Tl 0.7500 0.7500 0.7500  4 Ta 2.84, 4 Pt 2.84
3 Pt 0.2500 0.2500 0.2500  4 Ta 2.84, 4 Pt 2.84
4 Pt 0.5000 0.5000 0.5000  4 Tl 2.84, 4 Pt 2.84

Results
The electronic total energy is -6.554 eV/atom.

Crystalline UTaPt at its relaxed geometry. Source: the Open Quantum Materials Database, functional PBE.

Unit cell a=4.5874 b=4.5874 c=4.5874 alpha=60.00 beta=60.00 gamma=60.00
With the nearest neighbours (Å) after each atom.
Positions (direct):
1 U 0.0000 0.0000 0.0000  4 Pt 2.81
2 Ta 0.5000 0.5000 0.5000  4 Pt 2.81
3 Pt 0.7500 0.7500 0.7500  4 Ta 2.81, 4 U 2.81

Results
The electronic total energy is -9.444 eV/atom. The value obtained for the formation energy is 291 meV per atom.

Crystalline UTaPt at its relaxed geometry. Source: the Open Quantum Materials Database, functional PBE.

Unit cell a=4.5588 b=4.5588 c=4.5588 alpha=60.00 beta=60.00 gamma=60.00
With the nearest neighbours (Å) after each atom.
Positions (direct):
1 U 0.0000 0.0000 0.0000  4 Ta 2.79, 4 Pt 2.79
2 Ta 0.2500 0.2500 0.2500  4 U 2.79
3 Pt 0.7500 0.7500 0.7500  4 U 2.79

Results
The electronic total energy is -9.148 eV/atom. The value obtained for the formation energy is 587 meV per atom.

Crystalline YTa2Pt at its relaxed geometry. Source: the Open Quantum Materials Database, functional PBE.

Unit cell a=4.7617 b=4.7617 c=4.7617 alpha=60.00 beta=60.00 gamma=60.00
With the nearest neighbours (Å) after each atom.
Positions (direct):
1 Y 0.0000 0.0000 0.0000  4 Pt 2.92, 4 Ta 2.92
2 Ta 0.2500 0.2500 0.2500  4 Ta 2.92, 4 Y 2.92
3 Ta 0.5000 0.5000 0.5000  4 Pt 2.92, 4 Ta 2.92
4 Pt 0.7500 0.7500 0.7500  4 Ta 2.92, 4 Y 2.92

Results
The electronic total energy is -9.148 eV/atom. The value obtained for the formation energy is -91 meV per atom.

Crystalline TaZnPt2 at its relaxed geometry. Source: the Open Quantum Materials Database, functional PBE.

Unit cell a=4.4690 b=4.4690 c=4.4690 alpha=60.00 beta=60.00 gamma=60.00
With the nearest neighbours (Å) after each atom.
Positions (direct):
1 Ta 0.0000 0.0000 0.0000  4 Zn 2.74, 4 Pt 2.74
2 Zn 0.7500 0.7500 0.7500  4 Ta 2.74, 4 Pt 2.74
3 Pt 0.2500 0.2500 0.2500  4 Ta 2.74, 4 Pt 2.74
4 Pt 0.5000 0.5000 0.5000  4 Zn 2.74, 4 Pt 2.74

Results
The electronic total energy is -6.651 eV/atom. The value obtained for the formation energy is -344 meV per atom.

Crystalline TaZnPt2 at its relaxed geometry. Source: the Open Quantum Materials Database, functional PBE.

Unit cell a=4.4676 b=4.4676 c=4.4676 alpha=60.00 beta=60.00 gamma=60.00
With the nearest neighbours (Å) after each atom.
Positions (direct):
1 Ta 0.0000 0.0000 0.0000  4 Pt 2.74, 4 Zn 2.74
2 Zn 0.2500 0.2500 0.2500  4 Ta 2.74, 4 Pt 2.74
3 Pt 0.5000 0.5000 0.5000  4 Pt 2.74, 4 Zn 2.74
4 Pt 0.7500 0.7500 0.7500  4 Ta 2.74, 4 Pt 2.74

Results
The electronic total energy is -6.651 eV/atom. The value obtained for the formation energy is -344 meV per atom.

Crystalline Ta2ZnPt at its relaxed geometry. Source: the Open Quantum Materials Database, functional PBE.

Unit cell a=4.5523 b=4.5523 c=4.5523 alpha=60.00 beta=60.00 gamma=60.00
With the nearest neighbours (Å) after each atom.
Positions (direct):
1 Ta 0.0000 0.0000 0.0000  4 Ta 2.79, 4 Pt 2.79
2 Ta 0.2500 0.2500 0.2500  4 Ta 2.79, 4 Zn 2.79
3 Zn 0.5000 0.5000 0.5000  4 Ta 2.79, 4 Pt 2.79
4 Pt 0.7500 0.7500 0.7500  4 Ta 2.79, 4 Zn 2.79

Results
The electronic total energy is -7.743 eV/atom. The value obtained for the formation energy is 14 meV per atom.

Crystalline Zr3Ta2Pt2 at its relaxed geometry. Source: the Open Quantum Materials Database, functional PBE.

Unit cell a=7.9993 b=7.9993 c=7.9993 alpha=33.81 beta=33.81 gamma=33.81
With the nearest neighbours (Å) after each atom.
Positions (direct):
1 Zr 0.0000 0.0000 0.0000  4 Ta 2.66-2.77, 4 Pt 2.91-2.96
2 Zr 0.2517 0.2517 0.2517  4 Pt 2.89-3.08, 4 Ta 2.92-3.03, 3 Zr 3.23
3 Zr 0.5056 0.5056 0.5056  4 Pt 2.66-2.78, 4 Ta 2.95
4 Ta 0.1178 0.1178 0.1178  4 Zr 2.66-2.95
5 Ta 0.6362 0.6362 0.6362  7 Zr 2.77-2.95
6 Pt 0.3880 0.3880 0.3880  4 Zr 2.66-2.96
7 Pt 0.8711 0.8711 0.8711  7 Zr 2.78-2.91

Results
The electronic total energy is -8.723 eV/atom. The value obtained for the formation energy is 56 meV per atom.

Crystalline TbPt at its relaxed geometry. Source: the Open Quantum Materials Database, functional PBE.

Unit cell a=4.4800 b=4.4800 c=4.4800 alpha=60.00 beta=60.00 gamma=60.00
With the nearest neighbours (Å) after each atom.
Positions (direct):
1 Tb 0.0000 0.0000 0.0000  4 Pt 2.74
2 Pt 0.2500 0.2500 0.2500  4 Tb 2.74

Results
The electronic total energy is -5.838 eV/atom. The value obtained for the formation energy is -495 meV per atom.

Crystalline Tb3Pt at its relaxed geometry. Source: the Open Quantum Materials Database, functional PBE.

Unit cell a=7.0608 b=9.6062 c=6.4964 alpha=90.00 beta=90.00 gamma=90.00
With the nearest neighbours (Å) after each atom.
Positions (direct):
1 Tb 0.0263 0.2500 0.1315  2 Pt 2.83-2.90
2 Tb 0.1813 0.0603 0.6779  2 Pt 2.87-2.92
3 Tb 0.1813 0.4397 0.6779  2 Pt 2.87-2.92
4 Tb 0.3187 0.5603 0.1779  2 Pt 2.87-2.92
5 Tb 0.3187 0.9397 0.1779  2 Pt 2.87-2.92
6 Tb 0.4737 0.7500 0.6315  2 Pt 2.83-2.90
7 Tb 0.5263 0.2500 0.3685  2 Pt 2.83-2.90
8 Tb 0.6813 0.0603 0.8221  2 Pt 2.87-2.92
9 Tb 0.6813 0.4397 0.8221  2 Pt 2.87-2.92
10 Tb 0.8187 0.5603 0.3221  2 Pt 2.87-2.92
11 Tb 0.8187 0.9397 0.3221  2 Pt 2.87-2.92
12 Tb 0.9737 0.7500 0.8685  2 Pt 2.83-2.90
13 Pt 0.1110 0.7500 0.4476  6 Tb 2.83-2.92
14 Pt 0.3890 0.2500 0.9476  6 Tb 2.83-2.92
15 Pt 0.6110 0.7500 0.0524  6 Tb 2.83-2.92
16 Pt 0.8890 0.2500 0.5524  6 Tb 2.83-2.92

Results
The electronic total energy is -5.687 eV/atom. The value obtained for the formation energy is -701 meV per atom.